[1]
Compound: Ce2Pu3PaS6
Source: Alexandria
Functional: PBE-GGA
Structure: relaxed

Cell and atoms, written as POSCAR:
```
Ce2Pu3PaS6
1.0
8.641 -1.969 0.000
8.641 1.969 0.000
-1.895 0.000 7.718
Ce Pu Pa S
2 3 1 6
Cartesian
2.231 0.000 2.565
13.156 0.000 5.153
1.310 0.000 6.444
7.694 0.000 3.859
14.077 0.000 1.274
8.641 0.000 0.000
-1.369 0.000 5.794
4.017 0.000 7.121
5.004 0.000 3.175
10.383 0.000 4.544
11.371 0.000 0.597
16.757 0.000 1.924
```

D(E_F) = 2.12 states/eV/atom
Space group = C2/m, No. 12
Uncorrected formation energy = -1.83 eV/atom


[2]
Compound: ZrTc2Ir
Source: Alexandria
Functional: PBE-GGA
Structure: relaxed

Cell and atoms, written as POSCAR:
```
ZrTc2Ir
1.0
3.942 0.000 0.000
0.000 3.942 0.000
0.000 0.000 4.155
Zr Tc Ir
1 2 1
Cartesian
0.000 0.000 0.000
0.000 1.971 2.077
1.971 0.000 2.077
1.971 1.971 0.000
```

D(E_F) = 1.46 states/eV/atom
Calculated formation energy = -0.1820 eV per atom
Space group = P4/mmm, No. 123


[3]
Compound: SrFe2Pb
Source: Alexandria
Functional: PBE-GGA
Structure: relaxed

Cell and atoms, written as POSCAR:
```
SrFe2Pb
1.0
3.333 0.000 0.000
0.000 3.368 0.000
0.000 0.000 7.750
Sr Fe Pb
1 2 1
Cartesian
0.000 0.000 0.000
0.000 0.000 3.132
1.667 1.684 2.279
1.667 1.684 5.016
```

D(E_F) = 0.94 states/eV/atom
Calculated formation energy = 0.2873 eV per atom
Space group = Pmm2, No. 25


[4]
Compound: PaTeSe2
Source: Alexandria
Functional: PBE-GGA
Structure: relaxed

Cell and atoms, written as POSCAR:
```
PaTeSe2
1.0
4.789 0.000 0.000
-2.395 4.148 0.000
0.000 0.000 16.464
Pa Te Se
3 3 6
Cartesian
0.000 0.000 0.000
0.000 2.765 10.976
2.395 1.383 5.488
0.000 0.000 8.232
0.000 2.765 2.744
2.395 1.383 13.720
0.000 0.000 4.683
0.000 0.000 11.781
0.000 2.765 6.293
0.000 2.765 15.658
2.395 1.383 0.805
2.395 1.383 10.171
```

D(E_F) = 0.59 states/eV/atom
Space group = R-3m, No. 166
Uncorrected formation energy = -0.59 eV/atom